[1]
VASP calculation (PBE-GGA) on a geometry-optimized Sm3Ho2Tl2 structure.

Properties
Energy of formation from the pure elements: -195 meV per atom

Lattice parameters (Å, degrees): 5.466 5.466 8.696 108.41 108.41 60.09
Positions (direct):
Sm 0.000 0.000 0.000
Sm 0.156 0.156 0.468
Sm 0.844 0.844 0.532
Ho 0.426 0.426 0.278
Ho 0.574 0.574 0.722
Tl 0.286 0.286 0.856
Tl 0.714 0.714 0.144

[2]
VASP calculation (PBE-GGA) on a geometry-optimized Sm5HoTl5 structure.

Properties
Energy of formation from the pure elements: -142 meV per atom

Lattice parameters (Å, degrees): 9.423 9.423 7.122 111.59 111.59 35.76
Positions (direct):
Sm 0.000 0.000 0.000
Sm 0.312 0.312 0.306
Sm 0.363 0.363 0.855
Sm 0.637 0.637 0.145
Sm 0.688 0.688 0.694
Ho 0.000 0.000 0.500
Tl 0.162 0.162 0.434
Tl 0.162 0.162 0.890
Tl 0.500 0.500 0.500
Tl 0.838 0.838 0.110
Tl 0.838 0.838 0.566

[3]
VASP calculation (PBE-GGA) on a geometry-optimized SmHoTl structure.

Properties
Energy of formation from the pure elements: -33 meV per atom

Lattice parameters (Å, degrees): 5.228 5.228 5.228 60.00 60.00 60.00
Positions (direct):
Sm 0.000 0.000 0.000
Ho 0.500 0.500 0.500
Tl 0.250 0.250 0.250